# Ac2GaCo (PBE-GGA, optimized geometry)
# * total magnetic moment: 0.000 μB per cell
# * DFT formation energy: -0.907 eV/f.u.
# * V: 122.8 Å³/f.u.
data_Ac2GaCo
_space_group_name_H-M_alt 'I m m m'
_space_group_IT_number 71
_space_group_name_Hall '-I 2 2'
_cell_length_a 4.1626
_cell_length_b 4.6885
_cell_length_c 12.5855
_cell_angle_alpha 90.00
_cell_angle_beta 90.00
_cell_angle_gamma 90.00
loop_
_atom_site_label
_atom_site_type_symbol
_atom_site_fract_x
_atom_site_fract_y
_atom_site_fract_z
_atom_site_occupancy
Ac1 Ac 0.0000 0.0000 0.1454 1
Ga1 Ga 0.0000 0.0000 0.5000 1
Co1 Co 0.0000 0.5000 0.5000 1